# 1
VASP calculation (PBE) on a relaxed structure of YCrRe2.

Calculated values
polymorph energy (0 for the lowest one)	129	meV/atom
density	12.2	g/cm³
ΔE_f	0.388	eV per atom
uncorrected energy	-9.86	eV per atom

Lattice parameters (Å, degrees): 4.213 2.901 5.894 76.85 90.00 90.00
Last column: magnetic moment on the atom in μB.
Positions (direct):
Re  0.500  0.243  0.190  -0.04
Y  0.000  0.512  0.504  0.00
Re  0.000  0.987  0.996  -0.15
Cr  0.500  0.758  0.810  1.04


# 2
VASP calculation (PBE) on a relaxed structure of YCr2Re.

Calculated values
polymorph energy (0 for the lowest one)	110	meV/atom
density	10.1	g/cm³
ΔE_f	0.434	eV per atom
uncorrected energy	-9.11	eV per atom

Lattice parameters (Å, degrees): 4.448 4.448 4.448 60.00 60.00 60.00
Positions (direct):
Cr  0.250  0.250  0.250
Cr  0.750  0.750  0.750
Re  0.500  0.500  0.500
Y  0.000  0.000  0.000


# 3
VASP calculation (PBE) on a relaxed structure of YCrRe2.

Calculated values
polymorph energy (0 for the lowest one)	230	meV/atom
density	13.0	g/cm³
ΔE_f	0.489	eV per atom
uncorrected energy	-9.76	eV per atom

Lattice parameters (Å, degrees): 5.326 5.326 2.791 79.87 79.87 118.23
Positions (direct):
Y  0.500  0.000  0.500
Cr  0.000  0.500  0.500
Re  0.500  0.500  0.000
Re  0.000  0.000  0.000


# 4
VASP calculation (PBE) on a relaxed structure of YCrRe2.

Calculated values
polymorph energy (0 for the lowest one)	330	meV/atom
density	12.5	g/cm³
ΔE_f	0.590	eV per atom
uncorrected energy	-9.66	eV per atom

Lattice parameters (Å, degrees): 9.071 9.071 9.071 18.90 18.90 18.90
Positions (direct):
Cr  0.737  0.737  0.737
Re  0.261  0.261  0.261
Re  0.005  0.005  0.005
Y  0.497  0.497  0.497


# 5
VASP calculation (PBE) on a relaxed structure of YCrRe2.

Calculated values
polymorph energy (0 for the lowest one)	677	meV/atom
density	9.2	g/cm³
ΔE_f	0.936	eV per atom
uncorrected energy	-9.31	eV per atom

Lattice parameters (Å, degrees): 4.809 4.809 8.728 74.01 74.01 90.00
Last column: magnetic moment on the atom in μB.
Positions (direct):
Cr  0.250  0.750  0.500  0.21
Cr  0.500  0.500  0.000  0.21
Re  0.875  0.625  0.750  -0.04
Re  0.375  0.625  0.750  -0.04
Re  0.375  0.125  0.250  -0.04
Re  0.375  0.625  0.250  -0.03
Y  0.000  0.000  0.000  0.00
Y  0.750  0.250  0.500  0.00


# 6
VASP calculation (PBE) on a relaxed structure of YCr2Re.

Calculated values
polymorph energy (0 for the lowest one)	247	meV/atom
density	9.9	g/cm³
ΔE_f	0.570	eV per atom
uncorrected energy	-8.97	eV per atom

Lattice parameters (Å, degrees): 2.783 2.783 8.839 90.00 90.00 111.19
Positions (direct):
Y  0.500  0.500  0.750
Cr  0.000  0.000  0.031
Cr  0.000  0.000  0.469
Re  0.500  0.500  0.250